Entry 1:
First-principles (PBE) data for crystalline NpBe4Pt8 at its relaxed geometry, as listed in the Alexandria database.

Summary:
Its volume is 14.32 Å³ per atom. As for the formation energy: -0.577 eV/atom. Its symmetry is No. 139. Its total DFT energy (no corrections) is -83.7 eV for the cell shown.

Geometry as POSCAR:
```
NpBe4Pt8
1.0
-4.221 4.221 2.612
4.221 -4.221 2.612
4.221 4.221 -2.612
Np Be Pt
1 4 8
Cartesian
0.000 0.000 0.000
2.111 2.111 -1.306
2.111 -2.111 1.306
-2.111 2.111 1.306
2.111 2.111 1.306
2.761 0.000 0.000
5.681 0.000 0.000
4.221 2.305 0.000
0.000 2.761 0.000
2.305 4.221 0.000
1.916 0.000 2.612
0.000 5.681 0.000
0.000 1.916 2.612
```

---

Entry 2:
First-principles (PBE) data for crystalline Np3Be6Pt20 at its relaxed geometry, as listed in the Alexandria database.

Summary:
Its volume is 15.12 Å³ per atom. As for the formation energy: -0.572 eV/atom. Its symmetry is No. 225. Its total DFT energy (no corrections) is -198.6 eV for the cell shown.

Geometry as POSCAR:
```
Np3Be6Pt20
1.0
0.000 6.030 6.030
6.030 0.000 6.030
6.030 6.030 0.000
Np Be Pt
3 6 20
Cartesian
0.000 0.000 0.000
3.015 3.015 3.015
9.044 9.044 9.044
6.030 6.030 3.297
6.030 3.297 6.030
8.762 6.030 6.030
3.297 6.030 6.030
6.030 8.762 6.030
6.030 6.030 8.762
2.041 2.041 0.000
3.988 3.988 0.000
2.041 0.000 2.041
6.030 3.988 2.041
3.988 0.000 3.988
6.030 2.041 3.988
7.435 4.624 4.624
0.000 2.041 2.041
3.988 6.030 2.041
3.988 2.041 6.030
4.624 4.624 4.624
7.435 7.435 4.624
7.435 4.624 7.435
4.624 7.435 4.624
4.624 4.624 7.435
7.435 7.435 7.435
0.000 3.988 3.988
2.041 6.030 3.988
2.041 3.988 6.030
4.624 7.435 7.435
```

---

Entry 3:
First-principles (PBE) data for crystalline NpBePt at its relaxed geometry, as listed in the Alexandria database.

Summary:
Its volume is 16.01 Å³ per atom. As for the formation energy: -0.417 eV/atom. Its symmetry is No. 62. Its total DFT energy (no corrections) is -95.8 eV for the cell shown.

Geometry as POSCAR:
```
NpBePt
1.0
7.306 0.000 0.000
0.000 4.043 0.000
0.000 0.000 6.503
Np Be Pt
4 4 4
Cartesian
0.026 1.011 0.869
3.627 3.032 4.121
3.679 1.011 2.382
7.280 3.032 5.634
1.356 3.032 2.476
2.298 1.011 5.728
5.009 3.032 0.776
5.951 1.011 4.027
0.999 1.011 3.726
2.655 3.032 0.474
4.652 1.011 6.029
6.308 3.032 2.778
```

---

Entry 4:
First-principles (PBE) data for crystalline NpBeSi2Pt at its relaxed geometry, as listed in the Alexandria database.

Summary:
For the uncorrected formation energy, the calculation gives -0.5127 eV per atom. Its volume is 15.88 Å³ per atom. Its symmetry is No. 119. Its total DFT energy (no corrections) is -36.1 eV for the cell shown.

Geometry as POSCAR:
```
NpBeSi2Pt
1.0
-1.960 1.960 5.168
1.960 -1.960 5.168
1.960 1.960 -5.168
Np Be Si Pt
1 1 2 1
Cartesian
0.000 0.000 0.000
1.960 0.000 2.584
0.000 0.000 3.988
0.000 0.000 6.347
0.000 1.960 2.584
```

---

Entry 5:
First-principles (PBE) data for crystalline Np2BeSi4Pt3 at its relaxed geometry, as listed in the Alexandria database.

Summary:
For the uncorrected formation energy, the calculation gives -0.6247 eV per atom. Its volume is 17.00 Å³ per atom. Its symmetry is No. 115. Its total DFT energy (no corrections) is -75.7 eV for the cell shown.

Geometry as POSCAR:
```
Np2BeSi4Pt3
1.0
4.139 0.000 0.000
0.000 4.139 0.000
0.000 0.000 9.922
Np Be Si Pt
2 1 4 3
Cartesian
0.000 2.070 2.422
2.070 0.000 7.501
2.070 2.070 0.000
0.000 0.000 4.961
0.000 2.070 8.620
2.070 0.000 1.303
2.070 2.070 4.961
0.000 0.000 0.000
0.000 2.070 6.214
2.070 0.000 3.709
```

---

Entry 6:
First-principles (PBE) data for crystalline Np2Be3Si4Pt at its relaxed geometry, as listed in the Alexandria database.

Summary:
For the uncorrected formation energy, the calculation gives -0.3478 eV per atom. Its volume is 14.90 Å³ per atom. Its symmetry is No. 115. Its total DFT energy (no corrections) is -68.3 eV for the cell shown.

Geometry as POSCAR:
```
Np2Be3Si4Pt
1.0
3.908 0.000 0.000
0.000 3.908 0.000
0.000 0.000 9.753
Np Be Si Pt
2 3 4 1
Cartesian
0.000 1.954 2.306
1.954 0.000 7.448
0.000 1.954 8.514
1.954 0.000 1.240
1.954 1.954 4.877
0.000 0.000 0.000
0.000 1.954 6.294
1.954 0.000 3.459
1.954 1.954 0.000
0.000 0.000 4.877
```